Entry 1:
# LiScHPd2 | the Alexandria database | PBE | optimized geometry
# DFT total energy   -4.88 eV per atom
# Distance to the lowest polymorph of the same formula   0 meV/atom
# D(E_F)   0.543 states/eV/atom
data_LiScHPd2
_chemical_formula_sum 'Li1 Sc1 H1 Pd2'
_cell_length_a 4.1013
_cell_length_b 4.1013
_cell_length_c 3.8956
_cell_angle_alpha 90.00
_cell_angle_beta 90.00
_cell_angle_gamma 90.00
_space_group_name_H-M_alt 'P 4/m m m'
_space_group_IT_number 123
_space_group_name_Hall '-P 4 2'
loop_
_atom_site_label
_atom_site_fract_x
_atom_site_fract_y
_atom_site_fract_z
_atom_site_occupancy
Li1 0.0000 0.0000 0.0000 1
Sc1 0.5000 0.5000 0.0000 1
H1 0.0000 0.0000 0.5000 1
Pd1 0.0000 0.5000 0.5000 1

Entry 2:
# Li2ScHPd | the Alexandria database | PBE | optimized geometry
# DFT total energy   -4.18 eV per atom
# D(E_F)   0.444 states/eV/atom
data_Li2ScHPd
_chemical_formula_sum 'Li2 Sc1 H1 Pd1'
_cell_length_a 3.8259
_cell_length_b 3.8259
_cell_length_c 4.5798
_cell_angle_alpha 90.00
_cell_angle_beta 90.00
_cell_angle_gamma 90.00
_space_group_name_H-M_alt 'P 4/m m m'
_space_group_IT_number 123
_space_group_name_Hall '-P 4 2'
loop_
_atom_site_label
_atom_site_fract_x
_atom_site_fract_y
_atom_site_fract_z
_atom_site_occupancy
Li1 0.0000 0.5000 0.0000 1
Sc1 0.0000 0.0000 0.5000 1
H1 0.0000 0.0000 0.0000 1
Pd1 0.5000 0.5000 0.5000 1

Entry 3:
# LiSc2HPd | the Alexandria database | PBE | optimized geometry
# DFT total energy   -5.14 eV per atom
# Distance to the lowest polymorph of the same formula   0 meV/atom
# D(E_F)   0.485 states/eV/atom
data_LiSc2HPd
_chemical_formula_sum 'Li1 Sc2 H1 Pd1'
_cell_length_a 4.5783
_cell_length_b 4.5783
_cell_length_c 3.5211
_cell_angle_alpha 90.00
_cell_angle_beta 90.00
_cell_angle_gamma 90.00
_space_group_name_H-M_alt 'P 4/m m m'
_space_group_IT_number 123
_space_group_name_Hall '-P 4 2'
loop_
_atom_site_label
_atom_site_fract_x
_atom_site_fract_y
_atom_site_fract_z
_atom_site_occupancy
Li1 0.0000 0.0000 0.0000 1
Sc1 0.0000 0.5000 0.5000 1
H1 0.0000 0.0000 0.5000 1
Pd1 0.5000 0.5000 0.0000 1

Entry 4:
# LiScHPd2 | the Alexandria database | PBE | optimized geometry
# DFT total energy   -4.87 eV per atom
# Distance to the lowest polymorph of the same formula   11 meV/atom
# D(E_F)   0.248 states/eV/atom
data_LiScHPd2
_chemical_formula_sum 'Li1 Sc1 H1 Pd2'
_cell_length_a 4.0775
_cell_length_b 4.0775
_cell_length_c 4.0181
_cell_angle_alpha 90.00
_cell_angle_beta 90.00
_cell_angle_gamma 90.00
_space_group_name_H-M_alt 'P 4/m m m'
_space_group_IT_number 123
_space_group_name_Hall '-P 4 2'
loop_
_atom_site_label
_atom_site_fract_x
_atom_site_fract_y
_atom_site_fract_z
_atom_site_occupancy
Li1 0.0000 0.0000 0.0000 1
Sc1 0.5000 0.5000 0.0000 1
H1 0.5000 0.5000 0.5000 1
Pd1 0.0000 0.5000 0.5000 1